Record 1
A geometry-optimized Dy7IrI12 structure, computed with PBE.

Results
Total moment ... 0.000 μB per formula unit
Crystal system ... trigonal
Formation energy (no corrections) ... -1265 meV/atom
Calculated total energy ... -4.2489 eV per atom
Mass density ... 5.997 Mg/m³

Lattice parameters (Å, degrees): 15.7618 15.7618 11.0137 90.00 90.00 120.00
Space group R-3 (No. 148, hexagonal axes)
Inequivalent atoms, fractional coordinates:
Dy  0.0000  0.0000  0.0000 x3
Dy  0.0424  0.8844  0.3634 x18
Ir  0.0000  0.0000  0.5000 x3
I  0.0187  0.4326  0.1559 x18
I  0.0484  0.8743  0.8372 x18



Record 2
A geometry-optimized BaCa2AlRh structure, computed with PBE.

Results
Total moment ... 0.000 μB per formula unit
Crystal system ... tetragonal
Calculated total energy ... -3.6988 eV per atom
Mass density ... 3.757 Mg/m³
Formation enthalpy at 0 K ... -0.29 eV per atom

Lattice parameters (Å, degrees): 5.5346 5.5346 5.0122 90.00 90.00 90.00
Space group P4/mmm (No. 123)
Inequivalent atoms, fractional coordinates:
Ba  0.0000  0.0000  0.0000 x1
Ca  0.0000  0.5000  0.5000 x2
Al  0.5000  0.5000  0.0000 x1
Rh  0.5000  0.5000  0.5000 x1



Record 3
A geometry-optimized TmAl6Fe structure, computed with PBE.

Results
Total moment ... 0.003 μB per formula unit
Crystal system ... trigonal
Calculated total energy ... -4.3517 eV per atom
Mass density ... 3.939 Mg/m³
Formation enthalpy at 0 K ... 0.07 eV per atom

Lattice parameters (Å, degrees): 5.7763 5.7763 16.9221 90.00 90.00 120.00
Space group R-3m (No. 166, hexagonal axes)
Inequivalent atoms, fractional coordinates:
Tm  0.0000  0.0000  0.0000 x3
Al  0.0155  0.5078  0.9206 x18
Fe  0.0000  0.0000  0.5000 x3



Record 4
A geometry-optimized Ba4U3CdO12 structure, computed with PBE.

Results
Total moment ... 4.000 μB per formula unit
Crystal system ... cubic
Formation energy (no corrections) ... -2912 meV/atom
Calculated total energy ... -8.0109 eV per atom
Mass density ... 7.533 Mg/m³

Lattice parameters (Å, degrees): 8.8418 8.8418 8.8418 90.00 90.00 90.00
Space group Im-3m (No. 229)
Inequivalent atoms, fractional coordinates:
Ba  0.2500  0.2500  0.2500 x8
U  0.0000  0.0000  0.5000 x6
Cd  0.0000  0.0000  0.0000 x2
O  0.0000  0.0000  0.2635 x12
O  0.0000  0.2500  0.5000 x12



Record 5
A geometry-optimized CaPuCo2 structure, computed with PBE.

Results
Total moment ... 3.213 μB per formula unit
Crystal system ... tetragonal
Calculated total energy ... -7.5102 eV per atom
Mass density ... 8.781 Mg/m³
Formation enthalpy at 0 K ... 0.13 eV per atom

Lattice parameters (Å, degrees): 3.3014 3.3014 6.9744 90.00 90.00 90.00
Space group P4/mmm (No. 123)
Inequivalent atoms, fractional coordinates:
Ca  0.0000  0.0000  0.0000 x1
Pu  0.0000  0.0000  0.5000 x1
Co  0.5000  0.5000  0.2981 x2



Record 6
A geometry-optimized PaPdS2 structure, computed with PBE.

Results
Total moment ... 0.809 μB per formula unit
Crystal system ... orthorhombic
Formation energy (no corrections) ... -1152 meV/atom
Calculated total energy ... -6.8882 eV per atom
Mass density ... 7.720 Mg/m³

Lattice parameters (Å, degrees): 5.4042 12.0397 5.3102 90.00 90.00 90.00
Space group Pna2_1 (No. 33)
Inequivalent atoms, fractional coordinates:
Pa  0.0226  0.1334  0.0000 x4
Pd  0.1460  0.2942  0.4743 x4
S  0.0199  0.0960  0.5037 x4
S  0.0262  0.3591  0.0164 x4



Record 7
A geometry-optimized AcScH6Ir2 structure, computed with PBE.

Results
Total moment ... 0.000 μB per formula unit
Crystal system ... monoclinic
Calculated total energy ... -5.3505 eV per atom
Mass density ... 9.969 Mg/m³

Lattice parameters (Å, degrees): 7.7913 9.6020 6.4242 90.00 113.31 90.00
Space group C2/c (No. 15)
Inequivalent atoms, fractional coordinates:
Ac  0.0000  0.1478  0.2500 x4
Sc  0.0000  0.3985  0.7500 x4
H  0.0748  0.3990  0.1189 x8
H  0.1661  0.2707  0.6237 x8
H  0.2112  0.0282  0.0309 x8
Ir  0.1961  0.1427  0.8216 x8



Record 8
A geometry-optimized CaTlGaO4 structure, computed with PBE.

Results
Total moment ... 0.000 μB per formula unit
Crystal system ... orthorhombic
Formation energy (no corrections) ... -1761 meV/atom
Calculated total energy ... -5.6507 eV per atom
Mass density ... 6.107 Mg/m³

Lattice parameters (Å, degrees): 6.1692 9.8257 6.7861 90.00 90.00 90.00
Space group Cmcm (No. 63)
Inequivalent atoms, fractional coordinates:
Ca  0.0000  0.0000  0.0000 x4
Tl  0.0000  0.3358  0.2500 x4
Ga  0.0000  0.3567  0.7500 x4
O  0.0000  0.2394  0.5337 x8
O  0.2316  0.4825  0.7500 x8



Question: mass density of number 6 (PaPdS2)?
Answer: 7.720 Mg/m³



What did the fourth record say?
A geometry-optimized Ba4U3CdO12 structure, computed with PBE.

Results
Total moment ... 4.000 μB per formula unit
Crystal system ... cubic
Formation energy (no corrections) ... -2912 meV/atom
Calculated total energy ... -8.0109 eV per atom
Mass density ... 7.533 Mg/m³

Lattice parameters (Å, degrees): 8.8418 8.8418 8.8418 90.00 90.00 90.00
Space group Im-3m (No. 229)
Inequivalent atoms, fractional coordinates:
Ba  0.2500  0.2500  0.2500 x8
U  0.0000  0.0000  0.5000 x6
Cd  0.0000  0.0000  0.0000 x2
O  0.0000  0.0000  0.2635 x12
O  0.0000  0.2500  0.5000 x12